(1)
First-principles (PBE-GGA) data for a geometry-optimized SrW structure, as listed in OQMD.

Cell lengths 5.213, 5.213, 5.213 Å; angles 60.00, 60.00, 60.00 degrees
Site moments in Bohr magnetons follow the coordinates.
Sites, in units of the cell vectors:
W: 0.250 0.250 0.250  3.12
Sr: 0.000 0.000 0.000  0.14

Properties
VASP energy	-8.2	eV/cell
energy relative to the lowest polymorph listed for this composition	1.678	eV/atom

(2)
First-principles (PBE-GGA) data for a geometry-optimized SrW2 structure, as listed in OQMD.

Cell lengths 5.676, 5.676, 5.676 Å; angles 60.00, 60.00, 60.00 degrees
Sites, in units of the cell vectors:
Sr: 0.250 0.250 0.250
W: 0.125 0.625 0.625
W: 0.625 0.625 0.625
Sr: 0.000 0.000 0.000
W: 0.625 0.625 0.125
W: 0.625 0.125 0.625

Properties
VASP energy	-49.8	eV/cell

(3)
First-principles (PBE-GGA) data for a geometry-optimized SrW structure, as listed in OQMD.

Cell lengths 3.042, 3.042, 5.650 Å; angles 90.00, 90.00, 120.00 degrees
Sites, in units of the cell vectors:
W: 0.333 0.667 0.250
Sr: 0.667 0.333 0.750

Properties
VASP energy	-11.6	eV/cell
energy relative to the lowest polymorph listed for this composition	0.000	eV/atom

- What is the VASP energy in the first record?
  -8.2 eV/cell